[1]
This record from Alexandria describes Tm8MgBi2 after structural relaxation. The functional is PBE-GGA.

POSCAR file:
```
Tm8MgBi2
1.0
4.304 -7.131 0.000
4.304 7.131 0.000
-2.007 0.000 5.494
Tm Mg Bi
8 1 2
Cartesian
0.529 1.620 3.506 Tm
4.304 3.879 0.000 Tm
0.529 -1.620 3.506 Tm
3.047 0.000 1.096 Tm
3.554 0.000 4.397 Tm
6.072 1.620 1.988 Tm
4.304 -3.879 0.000 Tm
6.072 -1.620 1.988 Tm
0.000 0.000 0.000 Mg
3.300 2.804 2.747 Bi
3.300 -2.804 2.747 Bi
```

Computed properties:
energy of formation from the pure elements = -0.107 eV/atom
volume = 337 Å³/f.u.
space-group type = C2/m (12)
total magnetization = 0.45 μB/cell
uncorrected energy = -4.210 eV/atom
crystal system = monoclinic
theoretical density = 8.83 g cm⁻³

=====

[2]
This record from Alexandria describes PmMgSnGe after structural relaxation. The functional is PBE-GGA.

POSCAR file:
```
PmMgSnGe
1.0
0.000 3.661 3.661
3.661 0.000 3.661
3.661 3.661 0.000
Pm Mg Sn Ge
1 1 1 1
Cartesian
0.000 0.000 0.000 Pm
3.661 3.661 3.661 Mg
5.492 5.492 5.492 Sn
1.831 1.831 1.831 Ge
```

Computed properties:
energy of formation from the pure elements = -0.316 eV/atom
volume = 98 Å³/f.u.
space-group type = F-43m (216)
total magnetization = 0.00 μB/cell
uncorrected energy = -4.058 eV/atom
crystal system = cubic
theoretical density = 6.10 g cm⁻³

=====

[3]
This record from Alexandria describes CePm2Er3S6 after structural relaxation. The functional is PBE-GGA.

POSCAR file:
```
CePm2Er3S6
1.0
8.646 -1.956 0.000
8.646 1.956 0.000
-1.988 0.000 7.729
Ce Pm Er S
1 2 3 6
Cartesian
0.000 0.000 0.000 Ce
4.451 0.000 5.169 Pm
10.853 0.000 2.560 Pm
-0.994 0.000 3.864 Er
5.436 0.000 1.275 Er
9.868 0.000 6.454 Er
1.651 0.000 4.582 S
2.799 0.000 0.577 S
8.066 0.000 2.003 S
7.238 0.000 5.725 S
12.505 0.000 7.151 S
13.653 0.000 3.146 S
```

Computed properties:
volume = 261 Å³/f.u.
space-group type = C2/m (12)
total magnetization = 1.00 μB/cell
uncorrected energy = -6.496 eV/atom
crystal system = monoclinic
theoretical density = 7.14 g cm⁻³
E_form (uncorrected) = -2.005 eV/atom

=====

[4]
This record from Alexandria describes Pr2Nd9Sc after structural relaxation. The functional is PBE-GGA.

POSCAR file:
```
Pr2Nd9Sc
1.0
5.166 0.000 0.000
0.000 5.166 0.000
0.000 0.000 15.486
Pr Nd Sc
2 9 1
Cartesian
0.000 0.000 2.638 Pr
0.000 0.000 12.848 Pr
0.000 2.583 0.000 Nd
0.000 2.583 5.261 Nd
0.000 2.583 10.224 Nd
2.583 0.000 0.000 Nd
2.583 0.000 5.261 Nd
2.583 0.000 10.224 Nd
2.583 2.583 2.631 Nd
2.583 2.583 7.743 Nd
2.583 2.583 12.854 Nd
0.000 0.000 7.743 Sc
```

Computed properties:
energy of formation from the pure elements = 0.026 eV/atom
volume = 413 Å³/f.u.
space-group type = P4/mmm (123)
total magnetization = 0.00 μB/cell
uncorrected energy = -4.874 eV/atom
crystal system = tetragonal
theoretical density = 6.53 g cm⁻³